# PBE PuBiRh3, optimized geometry
data_PuBiRh3
_chemical_formula_sum 'Pu2 Bi2 Rh6'
_cell_length_a 3.8468
_cell_length_b 8.7839
_cell_length_c 8.2775
_cell_angle_alpha 46.23
_cell_angle_beta 76.53
_cell_angle_gamma 77.32
_space_group_name_H-M_alt 'P 1'
_space_group_IT_number 1
loop_
_space_group_symop_operation_xyz
'x,y,z'
loop_
_atom_site_label
_atom_site_type_symbol
_atom_site_fract_x
_atom_site_fract_y
_atom_site_fract_z
Rh1 Rh 0.9962 0.2813 0.8922
Bi1 Bi 0.1309 0.8769 0.0288
Rh2 Rh 0.4772 0.9936 0.2180
Bi2 Bi 0.5956 0.4114 0.5640
Rh3 Rh 0.7302 0.0070 0.7007
Rh4 Rh 0.2494 0.2948 0.3748
Rh5 Rh 0.7390 0.5963 0.0938
Rh6 Rh 0.9875 0.6920 0.4990
Pu1 Pu 0.8632 0.1441 0.2965
Pu2 Pu 0.3632 0.6441 0.7965
# Crystal system = monoclinic
# E = -8.26 eV per atom

# PBE Pu5BiRh2, optimized geometry
data_Pu5BiRh2
_chemical_formula_sum 'Pu5 Bi1 Rh2'
_cell_length_a 5.2034
_cell_length_b 6.6238
_cell_length_c 6.6238
_cell_angle_alpha 76.01
_cell_angle_beta 66.87
_cell_angle_gamma 66.87
_space_group_name_H-M_alt 'P 1'
_space_group_IT_number 1
loop_
_space_group_symop_operation_xyz
'x,y,z'
loop_
_atom_site_label
_atom_site_type_symbol
_atom_site_fract_x
_atom_site_fract_y
_atom_site_fract_z
Pu1 Pu 0.0000 0.5000 0.5000
Bi1 Bi 0.0000 0.0000 0.0000
Pu2 Pu 0.3291 0.8452 0.4967
Rh1 Rh 0.6952 0.8048 0.8048
Pu3 Pu 0.6709 0.1548 0.5033
Pu4 Pu 0.6709 0.5033 0.1548
Pu5 Pu 0.3291 0.4967 0.8452
Rh2 Rh 0.3048 0.1952 0.1952
# Crystal system = orthorhombic
# E = -11.31 eV per atom

| no. | ΔH_f (0 K) (eV per atom) |
| --- | --- |
| 1 | -0.202 |
| 2 | -0.028 |